1.
Crystalline KTe2Au2S6 at its relaxed geometry, computed with PBE-GGA.

Electronic total energy (eV/cell): -39.86
Calculated volume (Å³/cell): 363.0
Formation energy from raw total energies (eV per atom): -0.106
Total magnetization (μB/cell): 0.0

The structure in POSCAR format:
```
KTe2Au2S6
1.0
6.022 0.433 -0.078
3.501 8.061 0.271
-0.567 -3.934 7.569
Te Au S K
2 2 6 1
Direct
0.814 0.366 0.794
0.186 0.634 0.206
0.150 0.575 0.627
0.850 0.425 0.373
0.476 0.661 0.842
0.129 0.790 0.522
0.179 0.423 0.804
0.871 0.210 0.478
0.821 0.577 0.196
0.524 0.339 0.158
0.500 0.000 0.500
```

***

2.
Crystalline ScTc2F at its relaxed geometry, computed with PBE-GGA.

Electronic total energy (eV/cell): -54.57
Calculated volume (Å³/cell): 151.9
Energy above the most stable polymorph in this dataset (meV/atom): 0.0
Formation energy from raw total energies (eV per atom): 0.413
Total magnetization (μB/cell): 0.0

The structure in POSCAR format:
```
ScTc2F
1.0
-2.881 -1.491 3.238
-0.036 -4.151 -1.944
4.165 -4.789 4.745
Tc Sc F
4 2 2
Direct
0.318 0.125 0.250
0.375 0.682 0.750
0.875 0.568 0.750
0.432 0.625 0.250
0.750 0.250 0.500
0.000 0.000 0.000
0.500 0.500 0.000
0.250 0.750 0.500
```

***

3.
Crystalline AcPmZnNi at its relaxed geometry, computed with PBE-GGA.

Formation energy from the elements (eV/f.u.): -0.72
Electronic total energy (eV/cell): -16.63
Calculated volume (Å³/cell): 100.6
Total magnetization (μB/cell): 0.0

The structure in POSCAR format:
```
AcPmZnNi
1.0
5.221 0.000 0.000
2.611 4.522 0.000
2.611 1.507 4.263
Pm Zn Ac Ni
1 1 1 1
Direct
0.000 0.000 0.000
0.750 0.750 0.750
0.500 0.500 0.500
0.250 0.250 0.250
```

***

4.
Crystalline P2OsPt at its relaxed geometry, computed with PBE-GGA.

Formation energy from the elements (eV/f.u.): -0.87
Electronic total energy (eV/cell): -57.92
Calculated volume (Å³/cell): 148.7
Energy above the most stable polymorph in this dataset (meV/atom): 0.0
Total magnetization (μB/cell): 0.0

The structure in POSCAR format:
```
P2OsPt
1.0
-3.882 -2.060 2.984
3.141 -4.094 1.259
1.428 -0.413 6.299
P Pt Os
4 2 2
Direct
0.136 0.625 0.250
0.614 0.125 0.250
0.375 0.386 0.750
0.875 0.864 0.750
0.000 0.000 0.000
0.750 0.250 0.500
0.250 0.750 0.500
0.500 0.500 0.000
```

***

5.
Crystalline BaMgMn2H8 at its relaxed geometry, computed with PBE-GGA.

Electronic total energy (eV/cell): -50.16
Calculated volume (Å³/cell): 118.2
Total magnetization (μB/cell): 4.0

The structure in POSCAR format:
```
BaMgMn2H8
1.0
4.669 0.000 0.000
-2.335 4.044 0.000
0.000 0.000 6.262
H Ba Mn Mg
8 1 2 1
Direct
0.953 0.366 0.640
0.587 0.953 0.360
0.333 0.667 0.832
0.667 0.333 0.168
0.366 0.413 0.360
0.413 0.047 0.640
0.634 0.587 0.640
0.047 0.634 0.360
0.000 0.000 0.000
0.667 0.333 0.441
0.333 0.667 0.559
0.000 0.000 0.500
```

***

6.
Crystalline TcPPtCl2 at its relaxed geometry, computed with PBE-GGA.

Electronic total energy (eV/cell): -21.68
Calculated volume (Å³/cell): 101.9
Energy above the most stable polymorph in this dataset (meV/atom): 0.0
Formation energy from raw total energies (eV per atom): 0.766
Total magnetization (μB/cell): 0.0

The structure in POSCAR format:
```
TcPPtCl2
1.0
-1.562 2.448 -3.621
-3.665 1.361 2.502
2.426 3.770 1.502
P Cl Tc Pt
1 2 1 1
Direct
0.000 0.000 0.500
0.000 0.500 0.000
0.500 0.000 0.000
0.000 0.000 0.000
0.500 0.500 0.500
```